Record 1
A plane-wave DFT calculation with PBE-GGA was carried out for a geometry-optimized Hg4Te5I structure.

Structure (POSCAR):
```
Hg4Te5I
1.0
6.1484 0.0000 0.0000
0.0000 9.2161 0.0000
0.0000 0.0000 13.1084
Hg Te I
8 10 2
direct
0.8978 0.0000 0.6735
0.5300 0.7522 0.0000
0.5300 0.2478 0.0000
0.8978 0.0000 0.3265
0.1022 0.5000 0.1735
0.4700 0.7478 0.5000
0.4700 0.2522 0.5000
0.1022 0.5000 0.8265
0.3095 0.7782 0.8074
0.3095 0.2218 0.8074
0.8099 0.5000 0.0000
0.3095 0.7782 0.1926
0.3095 0.2218 0.1926
0.6905 0.7218 0.3074
0.6905 0.2782 0.3074
0.1901 0.0000 0.5000
0.6905 0.2782 0.6926
0.6905 0.7218 0.6926
0.8647 0.0000 0.0000
0.1353 0.5000 0.5000
```

Summary:
Theoretical density in g cm⁻³: 7.007
Fermi-level density of states in states/eV/cell: 4.63
E_form (uncorrected) in eV per atom: -0.0697
Volume in Å³/cell: 743
Space-group type: Pmmn
Calculated total energy in eV/atom: -1.9163

***

Record 2
A plane-wave DFT calculation with PBE-GGA was carried out for a geometry-optimized HgTe2I2 structure.

Structure (POSCAR):
```
HgTe2I2
1.0
8.0505 0.0000 0.0000
0.0000 8.0505 0.0000
0.0000 0.0000 5.2393
I Te Hg
4 4 2
direct
0.1970 0.6970 0.5000
0.6970 0.8030 0.5000
0.8030 0.3030 0.5000
0.3030 0.1970 0.5000
0.3713 0.8713 0.0000
0.8713 0.6287 0.0000
0.6287 0.1287 0.0000
0.1287 0.3713 0.0000
0.0000 0.0000 0.0000
0.5000 0.5000 0.0000
```

Summary:
Theoretical density in g cm⁻³: 6.940
Fermi-level density of states in states/eV/cell: 5.42
E_form (uncorrected) in eV per atom: 0.1767
Volume in Å³/cell: 340
Space-group type: P4/mbm
Calculated total energy in eV/atom: -1.7603

***

Record 3
A plane-wave DFT calculation with PBE-GGA was carried out for a geometry-optimized Hg3Te2I2 structure.

Structure (POSCAR):
```
Hg3Te2I2
1.0
-3.7896 1.5140 2.0445
-3.2648 -0.6502 -5.5700
-0.4085 -10.5686 1.9741
Hg Te I
3 2 2
direct
0.0000 0.0000 0.0000
0.3536 0.9126 0.7073
0.6464 0.0874 0.2927
0.0959 0.2889 0.1918
0.9041 0.7111 0.8082
0.2961 0.2830 0.5923
0.7039 0.7170 0.4077
```

Summary:
Theoretical density in g cm⁻³: 5.928
E_form (uncorrected) in eV per atom: -0.1537
Volume in Å³/cell: 311
Space-group type: C2/m
Calculated total energy in eV/atom: -1.6236

***

Record 4
A plane-wave DFT calculation with PBE-GGA was carried out for a geometry-optimized Hg3Te5I12 structure.

Structure (POSCAR):
```
Hg3Te5I12
1.0
-16.7850 -3.1650 7.1040
0.8277 -6.8623 -17.1593
12.8033 -8.1945 10.5426
Hg Te I
12 20 48
direct
0.7500 0.3750 0.1250
0.8750 0.7500 0.1250
0.3750 0.7500 0.6250
0.2500 0.1250 0.3750
0.8750 0.1250 0.2500
0.3750 0.6250 0.2500
0.6250 0.3750 0.7500
0.1250 0.8750 0.7500
0.7500 0.8750 0.6250
0.6250 0.2500 0.3750
0.1250 0.2500 0.8750
0.2500 0.6250 0.8750
0.1250 0.3750 0.2500
0.0000 0.5000 0.0000
0.0000 0.0000 0.0000
0.3750 0.2500 0.1250
0.5000 0.0000 0.5000
0.5000 0.5000 0.0000
0.1250 0.7500 0.3750
0.7500 0.1250 0.8750
0.7500 0.6250 0.3750
0.3750 0.1250 0.7500
0.6250 0.8750 0.2500
0.5000 0.5000 0.5000
0.5000 0.0000 0.0000
0.0000 0.0000 0.5000
0.2500 0.3750 0.6250
0.2500 0.8750 0.1250
0.0000 0.5000 0.5000
0.8750 0.2500 0.6250
0.6250 0.7500 0.8750
0.8750 0.6250 0.7500
0.6595 0.0901 0.9717
0.3121 0.4717 0.3816
0.0283 0.4099 0.3405
0.4717 0.1595 0.0901
0.5695 0.6595 0.6879
0.0283 0.6184 0.1879
0.3121 0.8405 0.4305
0.1184 0.9305 0.0901
0.6184 0.0283 0.6879
0.6595 0.5695 0.1879
0.8405 0.5283 0.4099
0.8121 0.8816 0.9717
0.0901 0.6595 0.4717
0.4099 0.3816 0.0695
0.0695 0.8816 0.4099
0.4305 0.0901 0.6184
0.0695 0.1879 0.1595
0.5283 0.6879 0.1184
0.8121 0.9305 0.3405
0.0901 0.4305 0.1184
0.4099 0.0283 0.8405
0.6184 0.5901 0.4305
0.8816 0.8121 0.4717
0.8405 0.3121 0.9305
0.3816 0.4099 0.5695
0.1184 0.1879 0.5283
0.1595 0.6879 0.0695
0.1879 0.0695 0.6595
0.5901 0.9717 0.1595
0.9099 0.5695 0.8816
0.4717 0.3121 0.8816
0.5695 0.9099 0.3816
0.9305 0.8121 0.8405
0.9305 0.1184 0.5901
0.9099 0.3405 0.5283
0.1879 0.1184 0.0283
0.5901 0.6184 0.9305
0.3816 0.9717 0.3121
0.3405 0.4305 0.8121
0.1595 0.4717 0.5901
0.8816 0.0695 0.9099
0.6879 0.1595 0.5695
0.5283 0.8405 0.9099
0.9717 0.3816 0.8121
0.4305 0.3405 0.3121
0.9717 0.5901 0.6595
0.6879 0.5283 0.6184
0.3405 0.9099 0.0283
```

Summary:
Theoretical density in g cm⁻³: 3.765
Fermi-level density of states in states/eV/cell: 23.41
E_form (uncorrected) in eV per atom: 0.0443
Volume in Å³/cell: 4873
Space-group type: Ia-3d
Calculated total energy in eV/atom: -1.7165

***

Record 5
A plane-wave DFT calculation with PBE-GGA was carried out for a geometry-optimized HgTe2I structure.

Structure (POSCAR):
```
HgTe2I
1.0
2.5719 0.0000 9.0546
-1.2860 2.2273 9.0546
-1.2860 -2.2273 9.0546
I Te Hg
1 2 1
direct
0.0000 0.0000 0.0000
0.8910 0.8910 0.8910
0.1090 0.1090 0.1090
0.5000 0.5000 0.5000
```

Summary:
Theoretical density in g cm⁻³: 6.218
Fermi-level density of states in states/eV/cell: 3.83
E_form (uncorrected) in eV per atom: 0.0945
Volume in Å³/cell: 156
Space-group type: R-3m
Calculated total energy in eV/atom: -1.9393

***

Record 6
A plane-wave DFT calculation with PBE-GGA was carried out for a geometry-optimized Hg4Te2I3 structure.

Structure (POSCAR):
```
Hg4Te2I3
1.0
-2.4469 6.0178 4.1911
-2.1868 -7.1431 6.2153
9.5690 1.0269 1.3476
Hg Te I
8 4 6
direct
0.5555 0.2348 0.9952
0.9445 0.0048 0.7652
0.4445 0.7652 0.0048
0.0555 0.9952 0.2348
0.9974 0.3972 0.3093
0.5026 0.6907 0.6028
0.0026 0.6028 0.6907
0.4974 0.3093 0.3972
0.6690 0.4741 0.2370
0.8310 0.7630 0.5259
0.3310 0.5259 0.7630
0.1690 0.2370 0.4741
0.0757 0.2445 0.0083
0.4243 0.9917 0.7555
0.9243 0.7555 0.9917
0.5757 0.0083 0.2445
0.7500 0.3299 0.6701
0.2500 0.6701 0.3299
```

Summary:
Theoretical density in g cm⁻³: 6.904
Fermi-level density of states in states/eV/cell: 6.98
E_form (uncorrected) in eV per atom: -0.1580
Volume in Å³/cell: 692
Space-group type: C2/c
Calculated total energy in eV/atom: -1.5070